Record 1
This record from Alexandria describes a relaxed Ce3SnRu crystal. The functional is PBE.

The structure in extended XYZ format:
```
10
Lattice="4.469 0.002 0.000 2.232 5.583 0.000 0.000 0.000 10.587" Properties=species:S:1:pos:R:3 pbc="T T T"
Ce 4.467 3.788 7.539
Ce 2.235 1.797 2.246
Ce 4.467 3.788 3.048
Ce 2.235 1.797 8.341
Ce 2.232 5.136 10.587
Ce 4.469 0.449 5.293
Sn 4.469 2.814 10.587
Sn 2.233 2.771 5.293
Ru 0.000 0.000 7.940
Ru 4.469 0.002 2.647
```

- E_tot (eV per atom) = -6.65
- E_form (eV per atom) = -0.4337
- M_tot (μB per cell) = 3.4



Record 2
This record from Alexandria describes a relaxed Ge2Te2Pd crystal. The functional is PBE.

The structure in extended XYZ format:
```
10
Lattice="7.297 0.000 0.000 0.000 7.297 0.000 0.000 0.000 4.391" Properties=species:S:1:pos:R:3 pbc="T T T"
Ge 2.584 6.232 0.000
Ge 6.232 4.713 0.000
Ge 4.713 1.064 0.000
Ge 1.064 2.584 0.000
Te 1.364 5.013 2.195
Te 5.013 5.932 2.195
Te 5.932 2.284 2.195
Te 2.284 1.364 2.195
Pd 0.000 0.000 0.000
Pd 3.648 3.648 0.000
```

- E_tot (eV per atom) = -3.97
- M_tot (μB per cell) = 0.0
- uncorrected formation energy (eV/atom) = 0.1711



Record 3
This record from Alexandria describes a relaxed LiMgTl2Hg crystal. The functional is PBE.

The structure in extended XYZ format:
```
5
Lattice="-3.128 4.112 -0.363 -3.824 -2.769 1.587 1.109 1.276 4.896" Properties=species:S:1:pos:R:3 pbc="T T T"
Mg -2.922 1.310 3.060
Tl 0.554 0.638 2.448
Tl -1.564 2.056 -0.182
Hg -1.912 -1.384 0.794
Li 0.000 0.000 0.000
```

- E_tot (eV per atom) = -1.60
- E_form (eV per atom) = 0.1102
- M_tot (μB per cell) = 0.0